# 1
ZrMnMo2: relaxed, GGA-PBE.

Results
- D(E_F): 3.9 states/eV/cell
- Theoretical density: 8184 kg/m3
- Total moment: 2.33 μB/f.u.
- DFT formation energy: 345 meV per atom
- Space-group type: R3m, No. 160
- E above lowest polymorph: 320.5 meV per atom

Lattice parameters (Å, degrees): 8.6832 8.6832 8.6832 20.24 20.24 20.24
Sites, in units of the cell vectors:
Zr 0.0000 0.0000 0.0000
Mn 0.2453 0.2453 0.2453
Mo 0.5019 0.5019 0.5019
Mo 0.7593 0.7593 0.7593

***

# 2
ZrMn2Mo: relaxed, GGA-PBE.

Results
- D(E_F): 1.9 states/eV/cell
- Theoretical density: 8390 kg/m3
- Total moment: 0.00 μB/f.u.
- DFT formation energy: 1 meV per atom
- Space-group type: P4/mmm, No. 123
- E above lowest polymorph: 0.0 meV per atom

Lattice parameters (Å, degrees): 3.0630 3.0630 6.2660 90.00 90.00 90.00
Sites, in units of the cell vectors:
Zr 0.0000 0.0000 0.0000
Mn 0.5000 0.5000 0.2716
Mn 0.5000 0.5000 0.7284
Mo 0.0000 0.0000 0.5000

***

# 3
ZrMnMo: relaxed, GGA-PBE.

Results
- D(E_F): 3.1 states/eV/cell
- Theoretical density: 7870 kg/m3
- Total moment: 1.07 μB/f.u.
- DFT formation energy: 339 meV per atom
- Space-group type: P3m1, No. 156
- E above lowest polymorph: 477.4 meV per atom

Lattice parameters (Å, degrees): 3.0562 3.0562 6.3148 90.00 90.00 120.00
Sites, in units of the cell vectors:
Zr 0.0000 0.0000 0.0000
Mn 0.6667 0.3333 0.3495
Mo 0.3333 0.6667 0.6238

***

# 4
ZrMnMo4: relaxed, GGA-PBE.

Results
- D(E_F): 5.8 states/eV/cell
- Theoretical density: 8375 kg/m3
- Total moment: 3.04 μB/f.u.
- DFT formation energy: 190 meV per atom
- Space-group type: F-43m, No. 216

Lattice parameters (Å, degrees): 5.2965 5.2965 5.2965 60.00 60.00 60.00
Sites, in units of the cell vectors:
Zr 0.0000 0.0000 0.0000
Mn 0.7500 0.7500 0.7500
Mo 0.3749 0.3749 0.3749
Mo 0.3749 0.3749 0.8754
Mo 0.3749 0.8754 0.3749
Mo 0.8754 0.3749 0.3749

***

# 5
ZrMn4Mo: relaxed, GGA-PBE.

Results
- D(E_F): 9.3 states/eV/cell
- Theoretical density: 8401 kg/m3
- Total moment: 1.94 μB/f.u.
- DFT formation energy: -56 meV per atom
- Space-group type: F-43m, No. 216

Lattice parameters (Å, degrees): 4.8453 4.8453 4.8453 60.00 60.00 60.00
Sites, in units of the cell vectors:
Zr 0.0000 0.0000 0.0000
Mn 0.1242 0.6253 0.6253
Mn 0.6253 0.1242 0.6253
Mn 0.6253 0.6253 0.1242
Mn 0.6253 0.6253 0.6253
Mo 0.2500 0.2500 0.2500

***

# 6
ZrMn3Mo: relaxed, GGA-PBE.

Results
- D(E_F): 6.8 states/eV/cell
- Theoretical density: 6347 kg/m3
- Total moment: 5.88 μB/f.u.
- DFT formation energy: 979 meV per atom
- Space-group type: Pm-3m, No. 221
- E above lowest polymorph: 0.0 meV per atom

Lattice parameters (Å, degrees): 4.5157 4.5157 4.5157 90.00 90.00 90.00
Sites, in units of the cell vectors:
Zr 0.0000 0.0000 0.0000
Mn 0.0000 0.5000 0.5000
Mn 0.5000 0.0000 0.5000
Mn 0.5000 0.5000 0.0000
Mo 0.5000 0.5000 0.5000

***

Question: The highest DFT formation energy belongs to which entry?
Answer: ZrMn3Mo

***

Question: total moment of number 3 (ZrMnMo)?
Answer: 1.07 μB/f.u.

***

Question: What is the total moment in the third record?
Answer: 1.07 μB/f.u.